! GGA-PBEsol TaHgRu2, relaxed; values from VASP
! Energy of formation from the pure elements = 0.06 eV per atom
! Symmetry = P4/mmm (123)
! Uncorrected energy = -33.23 eV/cell
&SYSTEM
  ibrav = 0, nat = 4, ntyp = 3
/
ATOMIC_SPECIES
Ru 101.07 Ru.upf
Hg 200.59 Hg.upf
Ta 180.95 Ta.upf
ATOMIC_POSITIONS angstrom
Ru -1.808 -0.072 1.028
Hg -0.644 -1.149 -1.214
Ta -1.744 -2.816 0.948
Ru 0.708 -1.595 1.133
CELL_PARAMETERS angstrom
-1.289 -2.298 -2.428
1.417 -3.190 2.267
-3.616 -0.145 2.056